*1*
This record from the Alexandria database describes ScSiPO2 after structural relaxation. The functional is GGA-PBE.

a = 3.913 Å, b = 3.913 Å, c = 5.501 Å
α = 90.00°, β = 90.00°, γ = 90.00°
Space group P4/mmm (No. 123)
Unique sites:
Sc1 0.000 0.000 0.000 [1 per cell]
Si1 0.500 0.500 0.500 [1 per cell]
P1 0.000 0.000 0.500 [1 per cell]
O1 0.000 0.500 0.000 [2 per cell]

Summary:
- total magnetic moment (μB per formula unit) = 0.00
- N(E_F) (states/eV/atom) = 0.80

---

*2*
This record from the Alexandria database describes ScSiPO2 after structural relaxation. The functional is GGA-PBE.

a = 3.572 Å, b = 3.572 Å, c = 4.874 Å
α = 90.00°, β = 90.00°, γ = 90.00°
Space group P4/mmm (No. 123)
Unique sites:
Sc1 0.000 0.000 0.000 [1 per cell]
Si1 0.500 0.500 0.500 [1 per cell]
P1 0.500 0.500 0.000 [1 per cell]
O1 0.000 0.500 0.500 [2 per cell]

Summary:
- total magnetic moment (μB per formula unit) = 0.00
- N(E_F) (states/eV/atom) = 0.05

---

Which of them is most stable? Easy: *2*.